Entry from Alexandria: crystalline MoOsO3 at its relaxed geometry (GGA+U).

Properties
- VASP energy: -34.640 eV for the cell shown
- Space group: No. 221
- Fermi-level density of states: 4.78 states/eV/f.u.

Structure (CIF):
```
data_MoOsO3
_cell_length_a 3.915
_cell_length_b 3.915
_cell_length_c 3.915
_cell_angle_alpha 90.00
_cell_angle_beta 90.00
_cell_angle_gamma 90.00
_space_group_name_H-M_alt 'P 1'
_space_group_IT_number 1
_space_group_name_Hall 'P 1'
loop_
_atom_site_label
_atom_site_fract_x
_atom_site_fract_y
_atom_site_fract_z
_atom_site_occupancy
Mo1 0.000 0.000 0.000 1
Os1 0.500 0.500 0.500 1
O1 0.000 0.500 0.500 1
O2 0.500 0.000 0.500 1
O3 0.500 0.500 0.000 1
```